Entry from Alexandria: a relaxed Ni2SeS crystal (PBE-GGA).

## Properties
ρ, g/cm³: 5.45
E_tot, eV per atom: -5.07
Raw formation energy, meV per atom: -279

Unit cell a=5.1581 b=5.1581 c=10.4709 alpha=90.00 beta=90.00 gamma=90.00
Closest atoms and distances in Å follow each position.
Space group I-42d (No. 122)
Symmetry-distinct sites (fractional):
Ni1 0.2224 0.2500 0.1250  2 S 2.17, 2 Se 2.33
Se1 0.0000 0.0000 0.5000  4 Ni 2.33
S1 0.0000 0.0000 0.0000  4 Ni 2.17